No. 1
RbNp4S6 | PBE | optimized geometry

Cell and atoms, written as CIF:
```
data_RbNp4S6
_space_group_name_H-M_alt 'I -4 2 m'
_space_group_IT_number 121
_space_group_name_Hall 'I -4 2'
_cell_length_a 7.577
_cell_length_b 7.577
_cell_length_c 9.804
_cell_angle_alpha 90.00
_cell_angle_beta 90.00
_cell_angle_gamma 90.00
loop_
_atom_site_label
_atom_site_type_symbol
_atom_site_fract_x
_atom_site_fract_y
_atom_site_fract_z
Rb1 Rb 0.000 0.000 0.000
Np1 Np 0.183 0.183 0.596
S1 S 0.000 0.500 0.000
S2 S 0.156 0.156 0.305
```

offset from the most stable computed form = 330 meV per atom
size of the total moment = 1.54 μB per atom
uncorrected energy = -177.5 eV for the cell shown
formation energy (no corrections) = -23.64 kcal/mol of atoms


No. 2
RbNp2S3 | PBE | optimized geometry

Cell and atoms, written as CIF:
```
data_RbNp2S3
_space_group_name_H-M_alt 'P m c 21'
_space_group_IT_number 26
_cell_length_a 5.357
_cell_length_b 8.789
_cell_length_c 7.012
_cell_angle_alpha 90.00
_cell_angle_beta 90.00
_cell_angle_gamma 90.00
loop_
_space_group_symop_operation_xyz
'x,y,z'
'-x,-y,z+1/2'
'-x,y,z'
'x,-y,z+1/2'
loop_
_atom_site_label
_atom_site_type_symbol
_atom_site_fract_x
_atom_site_fract_y
_atom_site_fract_z
Rb1 Rb 0.000 0.115 0.000
Np1 Np 0.000 0.492 0.262
Np2 Np 0.500 0.233 0.534
S1 S 0.000 0.253 0.524
S2 S 0.500 0.020 0.258
S3 S 0.500 0.464 0.826
```

size of the total moment = 0.18 μB per atom
uncorrected energy = -90.1 eV for the cell shown
formation energy (no corrections) = -22.36 kcal/mol of atoms


No. 3
RbNp6S12 | PBE | optimized geometry

Cell and atoms, written as CIF:
```
data_RbNp6S12
_space_group_name_H-M_alt 'R -3 m'
_space_group_IT_number 166
_space_group_name_Hall '-R 3 2"'
_cell_length_a 12.8673
_cell_length_b 12.8673
_cell_length_c 9.5779
_cell_angle_alpha 90.00
_cell_angle_beta 90.00
_cell_angle_gamma 120.00
loop_
_atom_site_label
_atom_site_type_symbol
_atom_site_fract_x
_atom_site_fract_y
_atom_site_fract_z
Rb1 Rb 0.0000 0.0000 0.0000
Np1 Np 0.0638 0.5319 0.2827
S1 S 0.0000 0.3695 0.5000
S2 S 0.0861 0.1722 0.3546
```

size of the total moment = 1.00 μB per atom
uncorrected energy = -452.8 eV for the cell shown
formation energy (no corrections) = -27.65 kcal/mol of atoms


No. 4
RbNp4S6 | PBE | optimized geometry

Cell and atoms, written as CIF:
```
data_RbNp4S6
_space_group_name_H-M_alt 'C m c m'
_space_group_IT_number 63
_space_group_name_Hall '-C 2c 2'
_cell_length_a 3.998
_cell_length_b 13.234
_cell_length_c 20.679
_cell_angle_alpha 90.00
_cell_angle_beta 90.00
_cell_angle_gamma 90.00
loop_
_atom_site_label
_atom_site_type_symbol
_atom_site_fract_x
_atom_site_fract_y
_atom_site_fract_z
Rb1 Rb 0.000 0.159 0.250
Np1 Np 0.000 0.099 0.627
Np2 Np 0.000 0.365 0.540
S1 S 0.000 0.000 0.000
S2 S 0.000 0.148 0.750
S3 S 0.000 0.269 0.081
S4 S 0.000 0.468 0.650
```

offset from the most stable computed form = 0 meV per atom
size of the total moment = 1.51 μB per atom
uncorrected energy = -369.6 eV for the cell shown
formation energy (no corrections) = -31.24 kcal/mol of atoms


No. 5
RbNp2S4 | PBE | optimized geometry

Cell and atoms, written as CIF:
```
data_RbNp2S4
_space_group_name_H-M_alt 'P 1 2/m 1'
_space_group_IT_number 10
_cell_length_a 6.920
_cell_length_b 4.053
_cell_length_c 8.267
_cell_angle_alpha 90.00
_cell_angle_beta 106.50
_cell_angle_gamma 90.00
loop_
_space_group_symop_operation_xyz
'x,y,z'
'-x,-y,-z'
'-x,y,-z'
'x,-y,z'
loop_
_atom_site_label
_atom_site_type_symbol
_atom_site_fract_x
_atom_site_fract_y
_atom_site_fract_z
Rb1 Rb 0.000 0.000 0.000
Np1 Np 0.000 0.500 0.500
Np2 Np 0.500 0.000 0.500
S1 S 0.224 0.000 0.677
S2 S 0.272 0.500 0.318
```

offset from the most stable computed form = 0 meV per atom
size of the total moment = 1.00 μB per atom
uncorrected energy = -53.1 eV for the cell shown
formation energy (no corrections) = -32.22 kcal/mol of atoms


No. 6
Rb5NpS5 | PBE | optimized geometry

Cell and atoms, written as CIF:
```
data_Rb5NpS5
_space_group_name_H-M_alt 'C 1 2/m 1'
_space_group_IT_number 12
_cell_length_a 15.084
_cell_length_b 6.130
_cell_length_c 8.960
_cell_angle_alpha 90.00
_cell_angle_beta 109.18
_cell_angle_gamma 90.00
loop_
_space_group_symop_operation_xyz
'x,y,z'
'-x,-y,-z'
'-x,y,-z'
'x,-y,z'
'x+1/2,y+1/2,z'
'-x+1/2,-y+1/2,-z'
'-x+1/2,y+1/2,-z'
'x+1/2,-y+1/2,z'
loop_
_atom_site_label
_atom_site_type_symbol
_atom_site_fract_x
_atom_site_fract_y
_atom_site_fract_z
Rb1 Rb 0.000 0.000 0.000
Rb2 Rb 0.174 0.500 0.347
Rb3 Rb 0.194 0.500 0.805
Np1 Np 0.000 0.000 0.500
S1 S 0.000 0.500 0.500
S2 S 0.126 0.000 0.362
S3 S 0.132 0.000 0.777
```

size of the total moment = 0.18 μB per atom
uncorrected energy = -101.3 eV for the cell shown
formation energy (no corrections) = -25.63 kcal/mol of atoms


No. 7
Rb2Np3S6 | PBE | optimized geometry

Cell and atoms, written as CIF:
```
data_Rb2Np3S6
_space_group_name_H-M_alt 'C 1 2/m 1'
_space_group_IT_number 12
_cell_length_a 7.010
_cell_length_b 12.139
_cell_length_c 8.177
_cell_angle_alpha 90.00
_cell_angle_beta 106.58
_cell_angle_gamma 90.00
loop_
_space_group_symop_operation_xyz
'x,y,z'
'-x,-y,-z'
'-x,y,-z'
'x,-y,z'
'x+1/2,y+1/2,z'
'-x+1/2,-y+1/2,-z'
'-x+1/2,y+1/2,-z'
'x+1/2,-y+1/2,z'
loop_
_atom_site_label
_atom_site_type_symbol
_atom_site_fract_x
_atom_site_fract_y
_atom_site_fract_z
Rb1 Rb 0.000 0.167 0.000
Np1 Np 0.000 0.000 0.500
Np2 Np 0.000 0.334 0.500
S1 S 0.227 0.168 0.683
S2 S 0.230 0.500 0.684
```

size of the total moment = 1.00 μB per atom
uncorrected energy = -162.0 eV for the cell shown
formation energy (no corrections) = -32.45 kcal/mol of atoms


No. 8
Rb3Np2S6 | PBE | optimized geometry

Cell and atoms, written as CIF:
```
data_Rb3Np2S6
_space_group_name_H-M_alt 'I 4/m m m'
_space_group_IT_number 139
_space_group_name_Hall '-I 4 2'
_cell_length_a 5.185
_cell_length_b 5.185
_cell_length_c 27.188
_cell_angle_alpha 90.00
_cell_angle_beta 90.00
_cell_angle_gamma 90.00
loop_
_atom_site_label
_atom_site_type_symbol
_atom_site_fract_x
_atom_site_fract_y
_atom_site_fract_z
Rb1 Rb 0.000 0.000 0.000
Rb2 Rb 0.000 0.000 0.185
Np1 Np 0.000 0.000 0.400
S1 S 0.000 0.000 0.310
S2 S 0.000 0.500 0.085
```

size of the total moment = 0.45 μB per atom
uncorrected energy = -132.8 eV for the cell shown
formation energy (no corrections) = -26.96 kcal/mol of atoms


No. 9
Rb4NpS4 | PBE | optimized geometry

Cell and atoms, written as CIF:
```
data_Rb4NpS4
_space_group_name_H-M_alt 'I -4 2 m'
_space_group_IT_number 121
_space_group_name_Hall 'I -4 2'
_cell_length_a 7.991
_cell_length_b 7.991
_cell_length_c 13.550
_cell_angle_alpha 90.00
_cell_angle_beta 90.00
_cell_angle_gamma 90.00
loop_
_atom_site_label
_atom_site_type_symbol
_atom_site_fract_x
_atom_site_fract_y
_atom_site_fract_z
Rb1 Rb 0.000 0.000 0.202
Rb2 Rb 0.000 0.500 0.000
Np1 Np 0.000 0.000 0.500
S1 S 0.188 0.188 0.607
```

size of the total moment = 0.33 μB per atom
uncorrected energy = -86.0 eV for the cell shown
formation energy (no corrections) = -24.86 kcal/mol of atoms


No. 10
Rb2Np3S8 | PBE | optimized geometry

Cell and atoms, written as CIF:
```
data_Rb2Np3S8
_space_group_name_H-M_alt 'C m m m'
_space_group_IT_number 65
_space_group_name_Hall '-C 2 2'
_cell_length_a 10.692
_cell_length_b 15.470
_cell_length_c 4.418
_cell_angle_alpha 90.00
_cell_angle_beta 90.00
_cell_angle_gamma 90.00
loop_
_atom_site_label
_atom_site_type_symbol
_atom_site_fract_x
_atom_site_fract_y
_atom_site_fract_z
Rb1 Rb 0.000 0.230 0.000
Np1 Np 0.000 0.500 0.000
Np2 Np 0.245 0.000 0.500
S1 S 0.000 0.067 0.500
S2 S 0.000 0.401 0.500
S3 S 0.228 0.398 0.000
```

size of the total moment = 0.69 μB per atom
uncorrected energy = -176.0 eV for the cell shown
formation energy (no corrections) = -25.20 kcal/mol of atoms


No. 11
Rb2NpSbS4 | PBE | optimized geometry

Cell and atoms, written as CIF:
```
data_Rb2NpSbS4
_space_group_name_H-M_alt 'I -4'
_space_group_IT_number 82
_cell_length_a 7.646
_cell_length_b 7.646
_cell_length_c 9.842
_cell_angle_alpha 90.00
_cell_angle_beta 90.00
_cell_angle_gamma 90.00
loop_
_space_group_symop_operation_xyz
'x,y,z'
'y,-x,-z'
'-x,-y,z'
'-y,x,-z'
'x+1/2,y+1/2,z+1/2'
'y+1/2,-x+1/2,-z+1/2'
'-x+1/2,-y+1/2,z+1/2'
'-y+1/2,x+1/2,-z+1/2'
loop_
_atom_site_label
_atom_site_type_symbol
_atom_site_fract_x
_atom_site_fract_y
_atom_site_fract_z
Rb1 Rb 0.000 0.000 0.000
Rb2 Rb 0.000 0.500 0.250
Np1 Np 0.000 0.000 0.500
Sb1 Sb 0.000 0.500 0.750
S1 S 0.177 0.248 0.628
```

size of the total moment = 0.50 μB per atom
uncorrected energy = -84.1 eV for the cell shown
formation energy (no corrections) = -18.80 kcal/mol of atoms


No. 12
Rb2Np2SbS6 | PBE | optimized geometry

Cell and atoms, written as CIF:
```
data_Rb2Np2SbS6
_space_group_name_H-M_alt 'C 1 2/m 1'
_space_group_IT_number 12
_cell_length_a 7.022
_cell_length_b 12.171
_cell_length_c 8.139
_cell_angle_alpha 90.00
_cell_angle_beta 106.10
_cell_angle_gamma 90.00
loop_
_space_group_symop_operation_xyz
'x,y,z'
'-x,-y,-z'
'-x,y,-z'
'x,-y,z'
'x+1/2,y+1/2,z'
'-x+1/2,-y+1/2,-z'
'-x+1/2,y+1/2,-z'
'x+1/2,-y+1/2,z'
loop_
_atom_site_label
_atom_site_type_symbol
_atom_site_fract_x
_atom_site_fract_y
_atom_site_fract_z
Rb1 Rb 0.000 0.164 0.000
Np1 Np 0.000 0.334 0.500
Sb1 Sb 0.000 0.000 0.500
S1 S 0.222 0.500 0.686
S2 S 0.228 0.170 0.685
```

size of the total moment = 0.64 μB per atom
uncorrected energy = -138.3 eV for the cell shown
formation energy (no corrections) = -26.14 kcal/mol of atoms